TaCu2C | GGA-PBE | optimized geometry

It has space group I-42d (No. 122), with a = 6.697 Å, b = 6.697 Å, c = 4.415 Å, α = 90.00°, β = 90.00° and γ = 90.00°. The distinct sites, in fractional coordinates, are Ta at (0.000, 0.000, 0.000), Cu at (0.166, 0.250, 0.625) and C at (0.000, 0.000, 0.500).

For the total energy, the calculation gives -6.7762 eV/atom. The calculation puts the formation energy at 0.541 eV/atom.

***

Rb3Ac2SnSe6 | GGA-PBE | optimized geometry

It has space group C2/m (No. 12), with a = 7.802 Å, b = 13.516 Å, c = 8.469 Å, α = 90.00°, β = 107.92° and γ = 90.00°. The distinct sites, in fractional coordinates, are Rb at (0.000, 0.000, 0.000), Rb at (0.000, 0.333, 0.000), Ac at (0.000, 0.167, 0.500), Sn at (0.000, 0.500, 0.500), Se at (0.227, 0.341, 0.704) and Se at (0.249, 0.500, 0.297).

For the total energy, the calculation gives -4.4098 eV/atom.

***

Sm12Er5Al2 | GGA-PBE | optimized geometry

It has space group C2/m (No. 12), with a = 17.731 Å, b = 8.021 Å, c = 8.914 Å, α = 90.00°, β = 108.32° and γ = 90.00°. The distinct sites, in fractional coordinates, are Sm at (0.021, 0.000, 0.192), Sm at (0.048, 0.500, 0.669), Sm at (0.140, 0.300, 0.370), Sm at (0.153, 0.266, 0.972), Er at (0.000, 0.500, 0.000), Er at (0.185, 0.000, 0.671), Er at (0.248, 0.500, 0.722) and Al at (0.000, 0.162, 0.500).

For the total energy, the calculation gives -4.5113 eV/atom. The calculation puts the formation energy at 0.064 eV/atom.

***

HoHg2Au | GGA-PBE | optimized geometry

It has space group R-3m (No. 166, hexagonal axes), with a = 3.4017 Å, b = 3.4017 Å, c = 31.3398 Å, α = 90.00°, β = 90.00° and γ = 120.00°. The distinct sites, in fractional coordinates, are Ho at (0.0000, 0.0000, 0.0000), Hg at (0.0000, 0.0000, 0.0957) and Au at (0.0000, 0.0000, 0.5000).

For the total energy, the calculation gives -1.9635 eV/atom. The relative energy among the computed polymorphs is 593 meV per atom. The calculation puts the formation energy at 0.151 eV/atom.

***

AsBrN | GGA-PBE | optimized geometry

It has space group P-1 (No. 2), with a = 5.806 Å, b = 7.777 Å, c = 8.020 Å, α = 71.38°, β = 83.12° and γ = 72.37°. The distinct sites, in fractional coordinates, are As at (0.112, 0.150, 0.189), As at (0.293, 0.042, 0.643), Br at (0.301, 0.823, 0.147), Br at (0.326, 0.397, 0.311), N at (0.145, 0.865, 0.674) and N at (0.358, 0.126, 0.371).

For the total energy, the calculation gives -4.5696 eV/atom. The relative energy among the computed polymorphs is 327 meV per atom.

***

Sr3Sn5S12 | GGA-PBE | optimized geometry

It has space group Ia-3d (No. 230), with a = 16.259 Å, b = 16.259 Å, c = 16.259 Å, α = 90.00°, β = 90.00° and γ = 90.00°. The distinct sites, in fractional coordinates, are Sr at (0.000, 0.250, 0.125), Sn at (0.000, 0.000, 0.000), Sn at (0.000, 0.250, 0.375) and S at (0.028, 0.061, 0.653).

For the total energy, the calculation gives -4.6248 eV/atom.

***

Tb2Tm7Sc3 | GGA-PBE | optimized geometry

It has space group Cmmm (No. 65), with a = 5.512 Å, b = 36.536 Å, c = 3.482 Å, α = 90.00°, β = 90.00° and γ = 90.00°. The distinct sites, in fractional coordinates, are Tb at (0.000, 0.149, 0.000), Tm at (0.000, 0.000, 0.000), Tm at (0.000, 0.071, 0.500), Tm at (0.000, 0.232, 0.000), Tm at (0.000, 0.409, 0.000), Sc at (0.000, 0.314, 0.500) and Sc at (0.000, 0.500, 0.500).

For the total energy, the calculation gives -4.7979 eV/atom. The calculation puts the formation energy at 0.165 eV/atom.

***

Se6BrCl2 | GGA-PBE | optimized geometry

It has space group C2/c (No. 15), with a = 14.069 Å, b = 13.212 Å, c = 8.046 Å, α = 90.00°, β = 101.53° and γ = 90.00°. The distinct sites, in fractional coordinates, are Se at (0.021, 0.233, 0.393), Se at (0.129, 0.414, 0.042), Se at (0.235, 0.161, 0.013), Br at (0.000, 0.412, 0.750) and Cl at (0.141, 0.116, 0.462).

For the total energy, the calculation gives -2.9653 eV/atom.

***

Ac3Y2Ho | GGA-PBE | optimized geometry

It has space group C2/c (No. 15), with a = 10.714 Å, b = 7.556 Å, c = 12.547 Å, α = 90.00°, β = 115.24° and γ = 90.00°. The distinct sites, in fractional coordinates, are Ac at (0.000, 0.127, 0.250), Ac at (0.167, 0.376, 0.083), Y at (0.167, 0.124, 0.584) and Ho at (0.000, 0.373, 0.750).

For the total energy, the calculation gives -4.8938 eV/atom. The calculation puts the formation energy at 0.078 eV/atom.

***

Dy5Tm2Ir4 | GGA-PBE | optimized geometry

It has space group C2/m (No. 12), with a = 10.601 Å, b = 4.904 Å, c = 10.432 Å, α = 90.00°, β = 93.69° and γ = 90.00°. The distinct sites, in fractional coordinates, are Dy at (0.000, 0.000, 0.000), Dy at (0.146, 0.000, 0.477), Dy at (0.186, 0.500, 0.846), Tm at (0.112, 0.500, 0.259), Ir at (0.042, 0.000, 0.747) and Ir at (0.101, 0.500, 0.588).

For the total energy, the calculation gives -6.6254 eV/atom. The calculation puts the formation energy at -0.498 eV/atom.

***

CsKRb2Pd | GGA-PBE | optimized geometry

It has space group P4/mmm (No. 123), with a = 6.853 Å, b = 6.853 Å, c = 6.970 Å, α = 90.00°, β = 90.00° and γ = 90.00°. The distinct sites, in fractional coordinates, are Cs at (0.000, 0.000, 0.000), K at (0.500, 0.500, 0.000), Rb at (0.000, 0.500, 0.500) and Pd at (0.000, 0.000, 0.500).

For the total energy, the calculation gives -1.7272 eV/atom. The relative energy among the computed polymorphs is 0 meV per atom. The calculation puts the formation energy at 0.089 eV/atom.

***

PrCd2Ag | GGA-PBE | optimized geometry

It has space group I-4m2 (No. 119), with a = 5.099 Å, b = 5.099 Å, c = 7.317 Å, α = 90.00°, β = 90.00° and γ = 90.00°. The distinct sites, in fractional coordinates, are Pr at (0.000, 0.000, 0.000), Cd at (0.000, 0.000, 0.500), Cd at (0.000, 0.500, 0.250) and Ag at (0.000, 0.500, 0.750).

For the total energy, the calculation gives -2.6671 eV/atom. The calculation puts the formation energy at -0.302 eV/atom.

***

What did the eleventh record say?
CsKRb2Pd | GGA-PBE | optimized geometry

It has space group P4/mmm (No. 123), with a = 6.853 Å, b = 6.853 Å, c = 6.970 Å, α = 90.00°, β = 90.00° and γ = 90.00°. The distinct sites, in fractional coordinates, are Cs at (0.000, 0.000, 0.000), K at (0.500, 0.500, 0.000), Rb at (0.000, 0.500, 0.500) and Pd at (0.000, 0.000, 0.500).

For the total energy, the calculation gives -1.7272 eV/atom. The relative energy among the computed polymorphs is 0 meV per atom. The calculation puts the formation energy at 0.089 eV/atom.

***

- The lowest total energy belongs to which entry?
  TaCu2C

***

- Among the records above, which one has the lowest total energy?
  TaCu2C

***

- What is the total energy in the fourth record?
  -1.9635 eV/atom